<1>
A relaxed Nb2Mo2W crystal, computed with PBE.

Results
* mass density: 10.89 Mg/m³
* calculated volume: 17.1 Å³ per atom

Cell lengths 7.324, 7.324, 5.391 Å; angles 90.00, 90.00, 143.68 degrees
Atoms (fractional coordinates):
Nb  0.001  0.999  0.500
Nb  0.197  0.803  0.832
Nb  0.803  0.197  0.332
Nb  0.999  0.001  0.000
Mo  0.193  0.807  0.328
Mo  0.398  0.602  0.173
Mo  0.602  0.398  0.673
Mo  0.807  0.193  0.828
W  0.396  0.604  0.673
W  0.604  0.396  0.173

<2>
A relaxed Nb2Mo2W crystal, computed with PBE.

Results
* mass density: 11.13 Mg/m³
* calculated volume: 16.8 Å³ per atom

Cell lengths 3.223, 4.566, 11.495 Å; angles 90.00, 98.00, 90.00 degrees
Atoms (fractional coordinates):
Nb  0.050  0.250  0.100
Nb  0.150  0.750  0.301
Nb  0.850  0.250  0.699
Nb  0.950  0.750  0.900
Mo  0.249  0.250  0.497
Mo  0.449  0.250  0.898
Mo  0.551  0.750  0.102
Mo  0.751  0.750  0.503
W  0.347  0.750  0.694
W  0.653  0.250  0.306

Computed energies relative to the best structure, in meV/atom: <1> 278; <2> 0